The following is a DFT calculation (SCAN) of a crystal of Mn3Co3Te2O12 relaxed with PBEsol.

Summary:
The calculation puts the total energy at -284.260 eV/cell. Its space group is R3, No. 146.

Structure (extended XYZ):
```
20
Lattice="-1.611 5.614 1.924 -2.659 -2.289 5.051 5.198 0.590 3.232" Properties=species:S:1:pos:R:3 pbc="T T T"
O 0.342 3.861 5.612
O 2.047 1.752 6.265
O -2.913 3.354 5.356
O -0.707 1.481 6.620
O -1.037 2.309 3.927
O -2.557 -0.225 5.920
O 1.162 -1.241 6.748
O 3.950 0.408 5.086
O -0.071 5.396 3.538
O 1.722 2.318 3.673
O 3.257 4.238 4.456
O 0.429 0.072 4.652
Co 1.588 4.356 3.389
Co 2.283 -0.618 5.234
Co -2.642 1.445 4.891
Te 0.913 3.852 10.044
Te 0.464 1.960 5.109
Mn -1.388 4.561 4.787
Mn -0.745 -0.557 6.691
Mn 3.646 2.380 5.166
```